The following is a PBE-GGA calculation of LaTi2Cd2 after structural relaxation, from the Alexandria database.

Cell: 4.1829 4.1829 7.6005 Å, 74.03 74.03 90.00°
Site moments in Bohr magnetons follow the coordinates.
Element x y z (fractional)
Cd  0.6061  0.6061  0.7878  0.06
Cd  0.3939  0.3939  0.2122  0.06
Ti  0.2500  0.7500  0.5000  1.21
Ti  0.7500  0.2500  0.5000  1.21
La  0.0000  0.0000  0.0000  0.17

Output
E in eV/atom: -4.391
DOS at the Fermi energy in states/eV per atom: 1.48



The following is a PBE-GGA calculation of ZrGaAsBr2 after structural relaxation, from the Alexandria database.

Cell: 5.4019 5.4019 5.2563 Å, 90.00 90.00 90.00°
Element x y z (fractional)
Br  0.0000  0.5000  0.0000
Br  0.5000  0.0000  0.0000
Ga  0.5000  0.5000  0.5000
As  0.0000  0.0000  0.5000
Zr  0.0000  0.0000  0.0000

Output
E in eV/atom: -4.354
Formation energy from raw total energies in eV per atom: -0.440
DOS at the Fermi energy in states/eV per atom: 0.43



Please write out number 2 again, unchanged.
The following is a PBE-GGA calculation of ZrGaAsBr2 after structural relaxation, from the Alexandria database.

Cell: 5.4019 5.4019 5.2563 Å, 90.00 90.00 90.00°
Element x y z (fractional)
Br  0.0000  0.5000  0.0000
Br  0.5000  0.0000  0.0000
Ga  0.5000  0.5000  0.5000
As  0.0000  0.0000  0.5000
Zr  0.0000  0.0000  0.0000

Output
E in eV/atom: -4.354
Formation energy from raw total energies in eV per atom: -0.440
DOS at the Fermi energy in states/eV per atom: 0.43



- Among the records above, which one has the lowest DOS at the Fermi energy?
  ZrGaAsBr2